{
  "formula": "NpInFeO6",
  "functional": "GGA+U",
  "state": "relaxed",
  "cell": [[4.900, 0.000, 0.000], [0.000, 4.900, 0.000], [0.000, 0.000, 9.677]],
  "species": ["Np", "Np", "In", "In", "Fe", "Fe", "O", "O", "O", "O", "O", "O", "O", "O", "O", "O", "O", "O"],
  "frac_coords": [[0.000, 0.000, 0.000], [0.500, 0.500, 0.500], [0.000, 0.000, 0.334], [0.500, 0.500, 0.834], [0.000, 0.000, 0.665], [0.500, 0.500, 0.165], [0.186, 0.186, 0.831], [0.198, 0.198, 0.508], [0.204, 0.204, 0.158], [0.296, 0.704, 0.658], [0.302, 0.698, 0.008], [0.314, 0.686, 0.331], [0.686, 0.314, 0.331], [0.698, 0.302, 0.008], [0.704, 0.296, 0.658], [0.796, 0.796, 0.158], [0.802, 0.802, 0.508], [0.814, 0.814, 0.831]],
  "final_energy_ev_per_atom": -7.721,
  "magmom_total_mub_per_cell": 12.00
}